MnGa2MoO8 | GGA+U | relaxed

Computed properties:
N(E_F) in states/eV/cell: 0.32
E_tot in eV/atom: -6.5746
Volume in Å³/f.u.: 128.6
Symmetry: Cmmm, No. 65
Calculated density in g cm⁻³: 5.4

abc: 4.6630 4.6588 5.9267
angles: 90.00 90.00 93.18
Closest atoms and distances in Å follow each position.
Positions (direct):
Mn  0.0000  0.0000  0.5000  6 O 1.92-1.96
O  0.2995  0.2985  0.5000  1 Mn 1.92, 2 Ga 1.93
O  0.8134  0.1876  0.2468  1 Mo 1.94, 1 Mn 1.96, 1 Ga 2.12
Mo  0.0000  0.0000  0.0000  6 O 1.94-1.96
Ga  0.5000  0.5000  0.2572  6 O 1.93-2.12
O  0.7005  0.7015  0.5000  1 Mn 1.92, 2 Ga 1.93
O  0.1866  0.8124  0.2468  1 Mo 1.94, 1 Mn 1.96, 1 Ga 2.12
O  0.3058  0.3049  0.0000  1 Mo 1.96, 2 Ga 1.97
O  0.1866  0.8124  0.7532  1 Mo 1.94, 1 Mn 1.96, 1 Ga 2.12
O  0.6942  0.6951  0.0000  1 Mo 1.96, 2 Ga 1.97
O  0.8134  0.1876  0.7532  1 Mo 1.94, 1 Mn 1.96, 1 Ga 2.12
Ga  0.5000  0.5000  0.7428  6 O 1.93-2.12